Record 1
Entry from OQMD via LeMat-Bulk: HoPuCd after structural relaxation (PBE-GGA).

Energy relative to the elements = 0.50 eV/atom
Energy relative to the lowest polymorph listed for this composition = 0 meV per atom

a b c (Å): 5.013 5.013 5.013
angles (deg): 60.00 60.00 60.00
Site moments in Bohr magnetons follow the coordinates.
Positions (direct):
Ho (0.000, 0.000, 0.000)  0.43
Cd (0.250, 0.250, 0.250)  -0.01
Pu (0.750, 0.750, 0.750)  5.61



Record 2
Entry from OQMD via LeMat-Bulk: HoCdRe after structural relaxation (PBE-GGA).

Energy relative to the elements = 0.96 eV/atom
Energy relative to the lowest polymorph listed for this composition = 0 meV per atom

a b c (Å): 4.635 4.635 4.635
angles (deg): 60.00 60.00 60.00
Site moments in Bohr magnetons follow the coordinates.
Positions (direct):
Cd (0.000, 0.000, 0.000)  0.00
Re (0.750, 0.750, 0.750)  1.12
Ho (0.250, 0.250, 0.250)  -0.09



Record 3
Entry from OQMD via LeMat-Bulk: HoCdRe after structural relaxation (PBE-GGA).

Energy relative to the elements = 1.26 eV/atom
Energy relative to the lowest polymorph listed for this composition = 303 meV per atom

a b c (Å): 4.764 4.764 4.764
angles (deg): 60.00 60.00 60.00
Positions (direct):
Ho (0.000, 0.000, 0.000)
Cd (0.250, 0.250, 0.250)
Re (0.750, 0.750, 0.750)



Record 4
Entry from OQMD via LeMat-Bulk: HoCdSb2 after structural relaxation (PBE-GGA).

Electronic total energy = -3.70 eV per atom

a b c (Å): 4.134 4.134 15.111
angles (deg): 90.00 90.00 120.00
Positions (direct):
Ho (0.000, 0.000, 0.000)
Ho (0.000, 0.000, 0.500)
Sb (0.667, 0.333, 0.373)
Sb (0.333, 0.667, 0.873)
Sb (0.667, 0.333, 0.127)
Sb (0.333, 0.667, 0.627)
Cd (0.333, 0.667, 0.250)
Cd (0.667, 0.333, 0.750)



Record 5
Entry from OQMD via LeMat-Bulk: Ho2CdSb2 after structural relaxation (PBE-GGA).

Electronic total energy = -4.33 eV per atom

a b c (Å): 6.597 4.385 18.629
angles (deg): 90.00 90.00 90.00
Positions (direct):
Ho (0.559, 0.750, 0.269)
Ho (0.787, 0.250, 0.554)
Ho (0.713, 0.750, 0.054)
Ho (0.213, 0.750, 0.446)
Ho (0.941, 0.250, 0.769)
Ho (0.441, 0.250, 0.731)
Ho (0.059, 0.750, 0.231)
Ho (0.287, 0.250, 0.946)
Sb (0.714, 0.750, 0.666)
Sb (0.214, 0.750, 0.834)
Sb (0.786, 0.250, 0.166)
Sb (0.795, 0.250, 0.939)
Sb (0.295, 0.250, 0.561)
Sb (0.705, 0.750, 0.439)
Sb (0.286, 0.250, 0.334)
Sb (0.205, 0.750, 0.061)
Cd (0.651, 0.750, 0.850)
Cd (0.151, 0.750, 0.650)
Cd (0.849, 0.250, 0.350)
Cd (0.349, 0.250, 0.150)



Record 6
Entry from OQMD via LeMat-Bulk: HoScCd6 after structural relaxation (PBE-GGA).

Energy relative to the elements = -0.25 eV/atom
Energy relative to the lowest polymorph listed for this composition = 0 meV per atom

a b c (Å): 4.791 6.365 6.365
angles (deg): 67.75 90.00 90.00
Positions (direct):
Sc (0.000, 0.868, 0.868)
Cd (0.000, 0.812, 0.378)
Cd (0.500, 0.681, 0.681)
Cd (0.500, 0.622, 0.183)
Cd (0.500, 0.183, 0.622)
Cd (0.000, 0.378, 0.812)
Cd (0.000, 0.324, 0.324)
Ho (0.500, 0.131, 0.131)



Record 7
Entry from OQMD via LeMat-Bulk: HoScCd6 after structural relaxation (PBE-GGA).

Energy relative to the elements = -0.24 eV/atom
Energy relative to the lowest polymorph listed for this composition = 13 meV per atom

a b c (Å): 5.000 5.000 7.085
angles (deg): 90.00 90.00 90.00
Positions (direct):
Cd (0.500, 0.500, 0.500)
Cd (0.500, 0.000, 0.759)
Cd (0.000, 0.500, 0.759)
Cd (0.500, 0.000, 0.241)
Cd (0.000, 0.500, 0.241)
Cd (0.000, 0.000, 0.000)
Ho (0.000, 0.000, 0.500)
Sc (0.500, 0.500, 0.000)



Record 8
Entry from OQMD via LeMat-Bulk: Ho2CdSe4 after structural relaxation (PBE-GGA).

Electronic total energy = -4.70 eV per atom

a b c (Å): 7.679 7.679 7.679
angles (deg): 133.34 133.34 68.13
Positions (direct):
Cd (0.000, 0.000, 0.000)
Se (0.634, 0.612, 0.504)
Se (0.108, 0.130, 0.496)
Se (0.870, 0.366, 0.978)
Se (0.388, 0.892, 0.022)
Ho (0.500, 0.500, 0.000)
Ho (0.250, 0.750, 0.500)



Record 9
Entry from OQMD via LeMat-Bulk: HoTlCdSe3 after structural relaxation (PBE-GGA).

Energy relative to the lowest polymorph listed for this composition = 44 meV per atom

a b c (Å): 12.403 4.265 12.739
angles (deg): 90.00 90.00 90.00
Positions (direct):
Se (0.589, 0.000, 0.065)
Se (0.761, 0.000, 0.829)
Se (0.411, 0.500, 0.935)
Se (0.261, 0.000, 0.671)
Se (0.911, 0.500, 0.565)
Se (0.089, 0.000, 0.435)
Se (0.965, 0.000, 0.176)
Se (0.239, 0.500, 0.171)
Se (0.465, 0.000, 0.324)
Se (0.535, 0.500, 0.676)
Se (0.035, 0.500, 0.824)
Se (0.739, 0.500, 0.329)
Ho (0.533, 0.000, 0.835)
Ho (0.467, 0.500, 0.165)
Ho (0.033, 0.000, 0.665)
Ho (0.967, 0.500, 0.335)
Cd (0.750, 0.500, 0.701)
Cd (0.250, 0.000, 0.299)
Cd (0.250, 0.500, 0.799)
Cd (0.750, 0.000, 0.201)
Tl (0.653, 0.000, 0.496)
Tl (0.153, 0.000, 0.004)
Tl (0.847, 0.500, 0.996)
Tl (0.347, 0.500, 0.504)



Record 10
Entry from OQMD via LeMat-Bulk: HoTlCdSe3 after structural relaxation (PBE-GGA).

Energy relative to the lowest polymorph listed for this composition = 0 meV per atom

a b c (Å): 7.671 7.671 11.077
angles (deg): 90.00 90.00 31.89
Positions (direct):
Se (0.929, 0.929, 0.750)
Se (0.369, 0.369, 0.045)
Se (0.631, 0.631, 0.955)
Se (0.369, 0.369, 0.455)
Se (0.071, 0.071, 0.250)
Se (0.631, 0.631, 0.545)
Tl (0.252, 0.252, 0.750)
Tl (0.748, 0.748, 0.250)
Ho (0.000, 0.000, 0.000)
Ho (0.000, 0.000, 0.500)
Cd (0.543, 0.543, 0.750)
Cd (0.457, 0.457, 0.250)



Record 11
Entry from OQMD via LeMat-Bulk: HoCd2Sn after structural relaxation (PBE-GGA).

Electronic total energy = -3.01 eV per atom

a b c (Å): 4.444 4.444 4.814
angles (deg): 90.00 90.00 90.00
Positions (direct):
Sn (0.500, 0.500, 0.500)
Cd (0.000, 0.500, 0.000)
Cd (0.500, 0.000, 0.000)
Ho (0.000, 0.000, 0.500)



Record 12
Entry from OQMD via LeMat-Bulk: SrHoCd after structural relaxation (PBE-GGA).

Electronic total energy = -2.27 eV per atom

a b c (Å): 5.354 5.354 5.354
angles (deg): 60.00 60.00 60.00
Positions (direct):
Cd (0.000, 0.000, 0.000)
Sr (0.750, 0.750, 0.750)
Ho (0.250, 0.250, 0.250)



Record 13
Entry from OQMD via LeMat-Bulk: SrHoCdTe3 after structural relaxation (PBE-GGA).

Electronic total energy = -3.81 eV per atom

a b c (Å): 8.020 8.020 11.202
angles (deg): 90.00 90.00 148.28
Positions (direct):
Te (0.400, 0.600, 0.750)
Te (0.859, 0.141, 0.048)
Te (0.141, 0.859, 0.548)
Te (0.600, 0.400, 0.250)
Te (0.141, 0.859, 0.952)
Te (0.859, 0.141, 0.452)
Ho (0.500, 0.500, 0.000)
Ho (0.500, 0.500, 0.500)
Cd (0.025, 0.975, 0.750)
Cd (0.975, 0.025, 0.250)
Sr (0.271, 0.729, 0.250)
Sr (0.729, 0.271, 0.750)



Record 14
Entry from OQMD via LeMat-Bulk: TbHoCd after structural relaxation (PBE-GGA).

Energy relative to the elements = 0.51 eV/atom

a b c (Å): 5.079 5.079 5.079
angles (deg): 60.00 60.00 60.00
Positions (direct):
Ho (0.000, 0.000, 0.000)
Cd (0.250, 0.250, 0.250)
Tb (0.750, 0.750, 0.750)



Record 15
Entry from OQMD via LeMat-Bulk: TbHoCd4 after structural relaxation (PBE-GGA).

Energy relative to the elements = -0.33 eV/atom

a b c (Å): 6.007 6.007 6.007
angles (deg): 131.54 110.06 89.65
Positions (direct):
Cd (0.086, 0.833, 0.253)
Cd (0.917, 0.167, 0.750)
Cd (0.580, 0.833, 0.747)
Cd (0.417, 0.167, 0.250)
Tb (0.998, 0.498, 0.500)
Ho (0.502, 0.502, 0.000)



Record 16
Entry from OQMD via LeMat-Bulk: HoCdTc after structural relaxation (PBE-GGA).

Energy relative to the elements = 1.01 eV/atom

a b c (Å): 4.746 4.746 4.746
angles (deg): 60.00 60.00 60.00
Site moments in Bohr magnetons follow the coordinates.
Positions (direct):
Tc (0.000, 0.000, 0.000)  1.55
Cd (0.500, 0.500, 0.500)  -0.01
Ho (0.250, 0.250, 0.250)  0.11



Record 17
Entry from OQMD via LeMat-Bulk: HoCdTe after structural relaxation (PBE-GGA).

Energy relative to the lowest polymorph listed for this composition = 0 meV per atom

a b c (Å): 5.106 5.106 5.106
angles (deg): 60.00 60.00 60.00
Positions (direct):
Te (0.250, 0.250, 0.250)
Cd (0.750, 0.750, 0.750)
Ho (0.000, 0.000, 0.000)



Record 18
Entry from OQMD via LeMat-Bulk: HoCdTe after structural relaxation (PBE-GGA).

Energy relative to the lowest polymorph listed for this composition = 138 meV per atom

a b c (Å): 5.136 5.136 5.136
angles (deg): 60.00 60.00 60.00
Positions (direct):
Ho (0.750, 0.750, 0.750)
Te (0.000, 0.000, 0.000)
Cd (0.250, 0.250, 0.250)



Record 19
Entry from OQMD via LeMat-Bulk: HoThCd after structural relaxation (PBE-GGA).

Energy relative to the elements = 0.67 eV/atom
Energy relative to the lowest polymorph listed for this composition = 0 meV per atom

a b c (Å): 5.122 5.122 5.122
angles (deg): 60.00 60.00 60.00
Site moments in Bohr magnetons follow the coordinates.
Positions (direct):
Cd (0.250, 0.250, 0.250)  0.00
Ho (0.000, 0.000, 0.000)  0.42
Th (0.750, 0.750, 0.750)  0.41



Record 20
Entry from OQMD via LeMat-Bulk: Ho2TmTl2Cd4 after structural relaxation (PBE-GGA).

Electronic total energy = -2.74 eV per atom

a b c (Å): 4.549 7.516 7.516
angles (deg): 119.79 90.00 90.00
Positions (direct):
Ho (0.000, 0.571, 0.999)
Ho (0.000, 0.999, 0.571)
Cd (0.000, 0.002, 0.002)
Cd (0.500, 0.761, 0.761)
Cd (0.500, 0.240, 0.000)
Cd (0.500, 0.000, 0.240)
Tm (0.000, 0.428, 0.428)
Tl (0.500, 0.334, 0.666)
Tl (0.500, 0.666, 0.334)